Record 1
The following is a DFT calculation (GGA-PBE) of PmGa2SeO8 after structural relaxation.

Values from the calculation:
The uncorrected formation energy comes out at -141 kJ per mole of atoms. The crystal system is triclinic.

abc: 4.4300 4.6230 6.9726
angles: 84.34 89.85 89.42
Closest atoms and distances in Å follow each position.
Fractional positions:
Pm: 0.0000 0.0000 0.0000  6 O 2.38-2.46
Ga: 0.4735 0.4729 0.7002  5 O 1.86-2.05
Ga: 0.5265 0.5271 0.2998  5 O 1.86-2.05
Se: 0.0000 0.0000 0.5000  6 O 1.80-1.87
O: 0.1771 0.7843 0.7112  1 Se 1.87, 1 Ga 1.95
O: 0.1795 0.8213 0.3116  1 Se 1.80
O: 0.3018 0.2797 0.4919  1 Se 1.87, 2 Ga 1.94-1.95
O: 0.4444 0.2906 0.9490  1 Ga 1.86
O: 0.5556 0.7094 0.0510  1 Ga 1.86
O: 0.6982 0.7203 0.5081  1 Se 1.87, 2 Ga 1.94-1.95
O: 0.8205 0.1787 0.6884  1 Se 1.80
O: 0.8229 0.2157 0.2888  1 Se 1.87, 1 Ga 1.95


Record 2
The following is a DFT calculation (GGA-PBE) of LaTb4Sc7 after structural relaxation.

Values from the calculation:
The value obtained for the energy relative to the elements is 260 meV per atom. The crystal system is monoclinic.

abc: 6.3993 6.3993 12.1197
angles: 114.75 114.75 51.91
Closest atoms and distances in Å follow each position.
Fractional positions:
La: 0.0000 0.0000 0.0000  4 Sc 2.80-2.99
Tb: 0.1467 0.1467 0.7758  7 Sc 3.21-3.43, 2 Tb 3.53
Tb: 0.4354 0.4354 0.6713  5 Sc 3.12-3.46
Tb: 0.5646 0.5646 0.3287  5 Sc 3.12-3.46
Tb: 0.8533 0.8533 0.2242  7 Sc 3.21-3.43, 2 Tb 3.53
Sc: 0.1325 0.1325 0.5001  4 Sc 3.05-3.35, 5 Tb 3.12-3.39
Sc: 0.2644 0.2644 0.3304  4 Sc 3.07-3.35, 2 Tb 3.43
Sc: 0.2879 0.2879 0.0776  1 La 2.99, 4 Sc 3.00-3.26, 4 Tb 3.21-3.24
Sc: 0.5000 0.5000 0.0000  2 La 2.80, 2 Sc 3.00
Sc: 0.7121 0.7121 0.9224  1 La 2.99, 4 Sc 3.00-3.26, 4 Tb 3.21-3.24
Sc: 0.7356 0.7356 0.6696  4 Sc 3.07-3.35, 2 Tb 3.43
Sc: 0.8675 0.8675 0.4999  4 Sc 3.05-3.35, 5 Tb 3.12-3.39


Record 3
The following is a DFT calculation (GGA-PBE) of ZrSc after structural relaxation.

Values from the calculation:
The value obtained for the energy relative to the elements is 1546 meV per atom. The crystal system is cubic.

abc: 7.7429 7.7429 7.7429
angles: 109.47 109.47 109.47
Closest atoms and distances in Å follow each position.
Fractional positions:
Zr: 0.0000 0.0000 0.2244  3 Zr 2.84, 4 Sc 2.92-2.99
Zr: 0.0000 0.2244 0.0000  3 Zr 2.84, 4 Sc 2.92-2.99
Zr: 0.2244 0.0000 0.0000  3 Zr 2.84, 4 Sc 2.92-2.99
Zr: 0.7756 0.7756 0.7756  3 Zr 2.84, 4 Sc 2.92-2.99
Sc: 0.0000 0.0000 0.6020  4 Zr 2.92-2.99
Sc: 0.0000 0.6020 0.0000  4 Zr 2.92-2.99
Sc: 0.3980 0.3980 0.3980  4 Zr 2.92-2.99
Sc: 0.6020 0.0000 0.0000  4 Zr 2.92-2.99


Record 4
The following is a DFT calculation (GGA-PBE) of AlTc2PbO8 after structural relaxation.

Values from the calculation:
The uncorrected formation energy comes out at -150 kJ per mole of atoms. The crystal system is monoclinic.

abc: 5.2271 5.2271 7.2659
angles: 90.44 90.44 67.31
Closest atoms and distances in Å follow each position.
Fractional positions:
Al: 0.0000 0.0000 0.0000  6 O 1.88-1.94
Tc: 0.3650 0.3650 0.2086  4 O 1.79-1.85
Tc: 0.6350 0.6350 0.7914  4 O 1.79-1.85
Pb: 0.0000 0.0000 0.5000  6 O 2.58-2.61
O: 0.2070 0.7470 0.1918  1 Tc 1.85, 1 Al 1.94
O: 0.2137 0.2137 0.0398  1 Tc 1.79, 1 Al 1.88
O: 0.2530 0.7930 0.8082  1 Tc 1.85, 1 Al 1.94
O: 0.2908 0.2908 0.4369  1 Tc 1.79
O: 0.7092 0.7092 0.5631  1 Tc 1.79
O: 0.7470 0.2070 0.1918  1 Tc 1.85, 1 Al 1.94
O: 0.7863 0.7863 0.9602  1 Tc 1.79, 1 Al 1.88
O: 0.7930 0.2530 0.8082  1 Tc 1.85, 1 Al 1.94


Record 5
The following is a DFT calculation (GGA-PBE) of Er2GeRu after structural relaxation.

Values from the calculation:
The value obtained for the energy relative to the elements is -644 meV per atom. The crystal system is orthorhombic.

abc: 3.8325 5.7776 5.7776
angles: 42.66 90.00 90.00
Closest atoms and distances in Å follow each position.
Fractional positions:
Er: 0.0000 0.0000 0.0000  1 Ru 2.89, 4 Ge 2.96
Er: 0.5000 0.2825 0.2825  4 Ru 2.90, 3 Ge 3.06-3.16
Ge: 0.5000 0.5757 0.5757  2 Ru 2.55
Ru: 0.0000 0.7318 0.7318  2 Ge 2.55


Record 6
The following is a DFT calculation (GGA-PBE) of Al3Fe2Si3 after structural relaxation.

Values from the calculation:
The uncorrected formation energy comes out at -10 kJ per mole of atoms. As for the energy above the most stable polymorph in this dataset: 1.99 eV/f.u. The crystal system is triclinic.

abc: 5.0628 5.8230 7.8625
angles: 97.96 92.63 106.97
Closest atoms and distances in Å follow each position.
Fractional positions:
Al: 0.1091 0.3238 0.0166  5 Fe 2.44-2.59, 3 Si 2.53-2.71, 3 Al 2.64-2.71
Al: 0.2079 0.3966 0.4700  2 Fe 2.43-2.48, 3 Si 2.55-2.61
Al: 0.2752 0.0308 0.2011  3 Fe 2.47-2.53, 3 Si 2.48-2.54, 2 Al 2.67-2.71
Al: 0.7248 0.9692 0.7989  3 Fe 2.47-2.53, 3 Si 2.48-2.54, 2 Al 2.67-2.71
Al: 0.7921 0.6034 0.5300  2 Fe 2.43-2.48, 3 Si 2.55-2.61
Al: 0.8909 0.6762 0.9834  5 Fe 2.44-2.59, 3 Si 2.53-2.71, 3 Al 2.64-2.71
Fe: 0.0475 0.6181 0.2676  3 Si 2.36-2.59, 5 Al 2.43-2.52
Fe: 0.4184 0.7307 0.9893  4 Si 2.35-2.48, 5 Al 2.47-2.59
Fe: 0.5816 0.2693 0.0107  4 Si 2.35-2.48, 5 Al 2.47-2.59
Fe: 0.9525 0.3819 0.7324  3 Si 2.36-2.59, 5 Al 2.43-2.52
Si: 0.2201 0.9535 0.8131  2 Fe 2.40-2.48, 1 Si 2.47, 3 Al 2.53-2.54
Si: 0.2463 0.9355 0.4989  1 Fe 2.36, 2 Si 2.46-2.47, 2 Al 2.48-2.58
Si: 0.4687 0.4418 0.7637  4 Fe 2.35-2.59, 3 Al 2.55-2.61
Si: 0.5313 0.5582 0.2363  4 Fe 2.35-2.59, 3 Al 2.55-2.61
Si: 0.7537 0.0645 0.5011  1 Fe 2.36, 2 Si 2.46-2.47, 2 Al 2.48-2.58
Si: 0.7799 0.0465 0.1869  2 Fe 2.40-2.48, 1 Si 2.47, 3 Al 2.53-2.54


Record 7
The following is a DFT calculation (GGA-PBE) of B5C7 after structural relaxation.

Values from the calculation:
The value obtained for the energy relative to the elements is 339 meV per atom. As for the energy above the most stable polymorph in this dataset: 0.98 eV/f.u. The crystal system is monoclinic.

abc: 3.9792 2.5762 7.7372
angles: 90.00 91.08 90.00
Closest atoms and distances in Å follow each position.
Fractional positions:
B: 0.0000 0.0000 0.0000  3 C 1.60-1.61
B: 0.0079 0.0000 0.2802  3 C 1.61-1.64
B: 0.2773 0.0000 0.5096  1 C 1.58, 2 B 1.77
B: 0.3228 0.0000 0.7934  3 C 1.60-1.63
B: 0.5712 0.5000 0.4734  2 C 1.56-1.67
C: 0.0061 0.0000 0.6566  2 C 1.54, 2 B 1.58-1.63
C: 0.3068 0.0000 0.1372  2 C 1.56, 2 B 1.60-1.64
C: 0.5272 0.5000 0.1411  4 C 1.56-1.58
C: 0.5574 0.5000 0.8156  2 C 1.48-1.55, 2 B 1.60
C: 0.7605 0.5000 0.9781  2 C 1.48-1.58, 2 B 1.61
C: 0.7716 0.5000 0.3018  3 B 1.56-1.61, 1 C 1.56
C: 0.7937 0.5000 0.6583  3 C 1.54-1.55, 1 B 1.67


Record 8
The following is a DFT calculation (GGA-PBE) of Hf2Cu2Pd3 after structural relaxation.

Values from the calculation:
The value obtained for the energy relative to the elements is -563 meV per atom. The crystal system is monoclinic.

abc: 4.9442 4.9442 6.3012
angles: 94.26 94.26 46.43
Closest atoms and distances in Å follow each position.
Fractional positions:
Hf: 0.0836 0.0836 0.2300  6 Pd 2.73-2.86, 5 Cu 2.78-2.90
Hf: 0.9164 0.9164 0.7700  6 Pd 2.73-2.86, 5 Cu 2.78-2.90
Cu: 0.3663 0.3663 0.0708  3 Cu 2.66-2.96, 4 Pd 2.71-2.87, 5 Hf 2.78-2.90
Cu: 0.6337 0.6337 0.9292  3 Cu 2.66-2.96, 4 Pd 2.71-2.87, 5 Hf 2.78-2.90
Pd: 0.2088 0.2088 0.6605  3 Cu 2.71-2.85, 4 Hf 2.76-2.86, 5 Pd 2.85-2.95
Pd: 0.5000 0.5000 0.5000  4 Hf 2.73, 6 Pd 2.85-2.91, 2 Cu 2.87
Pd: 0.7912 0.7912 0.3395  3 Cu 2.71-2.85, 4 Hf 2.76-2.86, 5 Pd 2.85-2.95